Entry 1:
VASP calculation (GGA-PBE) on crystalline Zr2CoSe at its relaxed geometry.

Mass density ... 6.91 g/cm3

a b c (Å): 6.4301 6.4301 6.4301
angles (deg): 34.73 34.73 34.73
With the nearest neighbours (Å) after each atom.
Atoms (fractional coordinates):
Zr 0.0292 0.0292 0.0292  3 Co 2.67, 3 Se 2.89
Co 0.4449 0.4449 0.4449  3 Se 2.24
Zr 0.2279 0.2279 0.2279  3 Se 2.82, 3 Co 3.06
Se 0.7980 0.7980 0.7980  3 Co 2.24

=====

Entry 2:
VASP calculation (GGA-PBE) on crystalline Zr2CoSe2 at its relaxed geometry.

Distance to the lowest polymorph of the same formula ... 97.6 meV per atom
Mass density ... 6.44 g/cm3

a b c (Å): 5.2530 5.2530 5.2648
angles (deg): 60.07 60.07 90.00
With the nearest neighbours (Å) after each atom.
Atoms (fractional coordinates):
Se 0.6973 0.6973 0.6054  1 Co 2.26
Zr 0.2500 0.7500 0.5000  4 Se 2.66
Se 0.3027 0.3027 0.3946  1 Co 2.26
Co 0.0000 0.0000 0.0000  2 Se 2.26
Zr 0.7500 0.2500 0.5000  4 Se 2.66

=====

Entry 3:
VASP calculation (GGA-PBE) on crystalline Zr2CoSe at its relaxed geometry.

Mass density ... 7.47 g/cm3

a b c (Å): 5.5968 5.5968 5.5968
angles (deg): 140.20 140.20 57.55
With the nearest neighbours (Å) after each atom.
Atoms (fractional coordinates):
Zr 0.0000 0.0000 0.0000  4 Co 2.69
Co 0.5000 0.5000 0.0000  4 Zr 2.69
Se 0.2500 0.7500 0.5000  4 Zr 2.69
Zr 0.7500 0.2500 0.5000  4 Se 2.69

=====

Entry 4:
VASP calculation (GGA-PBE) on crystalline ZrCo3Se at its relaxed geometry.

Distance to the lowest polymorph of the same formula ... 1111.8 meV per atom
Mass density ... 5.84 g/cm3

a b c (Å): 4.6201 4.6201 4.6201
angles (deg): 90.00 90.00 90.00
With the nearest neighbours (Å) after each atom.
Atoms (fractional coordinates):
Se 0.5000 0.5000 0.5000  12 Co 3.27
Co 0.0000 0.5000 0.0000  2 Zr 2.31
Co 0.5000 0.0000 0.0000  2 Zr 2.31
Zr 0.0000 0.0000 0.0000  6 Co 2.31
Co 0.0000 0.0000 0.5000  2 Zr 2.31

=====

Entry 5:
VASP calculation (GGA-PBE) on crystalline Zr3CoSe6 at its relaxed geometry.

Mass density ... 6.05 g/cm3

a b c (Å): 7.1642 7.1642 7.1642
angles (deg): 53.66 53.66 53.66
With the nearest neighbours (Å) after each atom.
Atoms (fractional coordinates):
Se 0.5936 0.2554 0.9222  1 Co 2.56, 3 Zr 2.72
Se 0.7446 0.0778 0.4064  1 Co 2.56, 3 Zr 2.72
Zr 0.8325 0.8325 0.8325  6 Se 2.72
Zr 0.1675 0.1675 0.1675  6 Se 2.72
Se 0.0778 0.4064 0.7446  1 Co 2.56, 3 Zr 2.72
Se 0.9222 0.5936 0.2554  1 Co 2.56, 3 Zr 2.72
Se 0.4064 0.7446 0.0778  1 Co 2.56, 3 Zr 2.72
Co 0.0000 0.0000 0.0000  6 Se 2.56
Zr 0.5000 0.5000 0.5000  6 Se 2.72
Se 0.2554 0.9222 0.5936  1 Co 2.56, 3 Zr 2.72

=====

Entry 6:
VASP calculation (GGA-PBE) on crystalline Zr2Co2Se at its relaxed geometry.

Distance to the lowest polymorph of the same formula ... 7.8 meV per atom
Mass density ... 7.69 g/cm3

a b c (Å): 6.9688 6.9688 3.3730
angles (deg): 90.00 90.00 90.00
With the nearest neighbours (Å) after each atom.
Atoms (fractional coordinates):
Co 0.6254 0.1254 0.0000  1 Co 2.47, 6 Zr 2.62-2.69, 2 Se 2.75
Co 0.1254 0.3746 0.0000  1 Co 2.47, 6 Zr 2.62-2.69, 2 Se 2.75
Co 0.8746 0.6254 0.0000  1 Co 2.47, 6 Zr 2.62-2.69, 2 Se 2.75
Zr 0.6715 0.8285 0.5000  6 Co 2.62-2.69
Zr 0.3285 0.1715 0.5000  6 Co 2.62-2.69
Zr 0.1715 0.6715 0.5000  6 Co 2.62-2.69
Se 0.5000 0.5000 0.0000  4 Co 2.75
Co 0.3746 0.8746 0.0000  1 Co 2.47, 6 Zr 2.62-2.69, 2 Se 2.75
Se 0.0000 0.0000 0.0000  4 Co 2.75
Zr 0.8285 0.3285 0.5000  6 Co 2.62-2.69

=====

Entry 7:
VASP calculation (GGA-PBE) on crystalline Zr2CoSe at its relaxed geometry.

Mass density ... 7.49 g/cm3

a b c (Å): 4.6476 4.6476 4.6476
angles (deg): 60.00 60.00 60.00
With the nearest neighbours (Å) after each atom.
Atoms (fractional coordinates):
Zr 0.0000 0.0000 0.0000  4 Se 2.85, 4 Zr 2.85
Co 0.5000 0.5000 0.5000  4 Zr 2.85, 4 Se 2.85
Zr 0.2500 0.2500 0.2500  4 Zr 2.85, 4 Co 2.85
Se 0.7500 0.7500 0.7500  4 Zr 2.85, 4 Co 2.85

=====

Entry 8:
VASP calculation (GGA-PBE) on crystalline Zr2CoSe at its relaxed geometry.

Mass density ... 6.85 g/cm3

a b c (Å): 3.6478 3.6478 7.0583
angles (deg): 75.02 75.02 60.01
With the nearest neighbours (Å) after each atom.
Atoms (fractional coordinates):
Zr 0.5113 0.5113 0.4660  3 Co 2.56, 3 Se 2.85
Se 0.7500 0.7500 0.7500  6 Zr 2.85
Zr 0.9887 0.9887 0.0340  3 Co 2.56, 3 Se 2.85
Co 0.2500 0.2500 0.2500  6 Zr 2.56

=====

Entry 9:
VASP calculation (GGA-PBE) on crystalline ZrCo4Se at its relaxed geometry.

Mass density ... 8.13 g/cm3

a b c (Å): 4.8954 4.8954 4.8954
angles (deg): 60.00 60.00 60.00
With the nearest neighbours (Å) after each atom.
Atoms (fractional coordinates):
Co 0.3746 0.3746 0.8762  6 Co 2.44-2.46
Co 0.3746 0.8762 0.3746  6 Co 2.44-2.46
Co 0.3746 0.3746 0.3746  6 Co 2.44-2.46
Co 0.8762 0.3746 0.3746  6 Co 2.44-2.46
Se 0.7500 0.7500 0.7500  12 Co 2.87, 4 Zr 3.00
Zr 0.0000 0.0000 0.0000  12 Co 2.87, 4 Se 3.00

=====

Entry 10:
VASP calculation (GGA-PBE) on crystalline ZrCoSe at its relaxed geometry.

Distance to the lowest polymorph of the same formula ... 0.0 meV per atom
Mass density ... 5.87 g/cm3

a b c (Å): 3.8359 3.8359 10.4130
angles (deg): 79.39 79.39 60.00
With the nearest neighbours (Å) after each atom.
Atoms (fractional coordinates):
Se 0.2756 0.2756 0.1733  3 Zr 2.70
Se 0.7244 0.7244 0.8267  3 Zr 2.70
Co 0.1657 0.1657 0.5029  3 Co 2.22
Zr 0.4419 0.4419 0.6742  3 Se 2.70, 6 Co 2.82-2.85
Co 0.8343 0.8343 0.4971  3 Co 2.22
Zr 0.5581 0.5581 0.3258  3 Se 2.70, 6 Co 2.82-2.85

=====

Entry 11:
VASP calculation (GGA-PBE) on crystalline Zr2CoSe at its relaxed geometry.

Mass density ... 6.87 g/cm3

a b c (Å): 3.7392 3.7412 5.5370
angles (deg): 90.00 90.00 90.00
With the nearest neighbours (Å) after each atom.
Atoms (fractional coordinates):
Co 0.0000 0.0000 0.3744  5 Zr 2.48-2.65
Zr 0.5000 0.5000 0.3570  4 Co 2.65, 2 Se 2.68-2.86
Zr 0.0000 0.0000 0.9272  1 Co 2.48, 4 Se 2.69
Se 0.5000 0.5000 0.8413  6 Zr 2.68-2.86

=====

Entry 12:
VASP calculation (GGA-PBE) on crystalline Zr2CoSe at its relaxed geometry.

Mass density ... 7.52 g/cm3

a b c (Å): 4.7031 4.7031 3.2670
angles (deg): 90.00 90.00 101.86
With the nearest neighbours (Å) after each atom.
Atoms (fractional coordinates):
Co 0.5000 0.0000 0.5000  8 Zr 2.86, 2 Se 2.96
Zr 0.5000 0.5000 0.0000  4 Se 2.86, 4 Co 2.86, 2 Zr 2.96
Se 0.0000 0.5000 0.5000  8 Zr 2.86, 2 Co 2.96
Zr 0.0000 0.0000 0.0000  4 Co 2.86, 4 Se 2.86, 2 Zr 2.96

=====

Entry 13:
VASP calculation (GGA-PBE) on crystalline Zr2CoSe at its relaxed geometry.

Mass density ... 7.36 g/cm3

a b c (Å): 3.3547 3.3404 6.8820
angles (deg): 69.63 90.00 90.00
With the nearest neighbours (Å) after each atom.
Atoms (fractional coordinates):
Zr 0.0000 0.0068 0.0185  2 Co 2.63, 2 Se 2.84
Zr 0.0000 0.4932 0.4815  2 Co 2.63, 2 Se 2.84
Se 0.5000 0.7500 0.7500  8 Zr 2.84-3.03
Co 0.5000 0.2500 0.2500  4 Zr 2.63

=====

Number 1: formation energy from raw total energies -0.3679 eV/atom, VASP energy -29.2 eV/cell, D(E_F) 4.7 states/eV/cell. Number 2: formation energy from raw total energies -0.4878 eV/atom, VASP energy -33.6 eV/cell, D(E_F) 5.3 states/eV/cell. Number 3: formation energy from raw total energies -0.3717 eV/atom, VASP energy -29.2 eV/cell, D(E_F) 4.0 states/eV/cell. Number 4: formation energy from raw total energies 1.4520 eV/atom, VASP energy -26.1 eV/cell, D(E_F) 3.5 states/eV/cell. Number 5: formation energy from raw total energies -1.1341 eV/atom, VASP energy -65.0 eV/cell, D(E_F) 3.6 states/eV/cell. Number 6: formation energy from raw total energies -0.3933 eV/atom, VASP energy -73.5 eV/cell, D(E_F) 7.5 states/eV/cell. Number 7: formation energy from raw total energies 0.2167 eV/atom, VASP energy -26.8 eV/cell, D(E_F) 6.3 states/eV/cell. Number 8: formation energy from raw total energies -0.6869 eV/atom, VASP energy -30.4 eV/cell, D(E_F) 3.1 states/eV/cell. Number 9: formation energy from raw total energies -0.0316 eV/atom, VASP energy -40.6 eV/cell, D(E_F) 8.8 states/eV/cell. Number 10: formation energy from raw total energies -0.7102 eV/atom, VASP energy -42.5 eV/cell, D(E_F) 2.8 states/eV/cell. Number 11: formation energy from raw total energies -0.5559 eV/atom, VASP energy -29.9 eV/cell, D(E_F) 2.8 states/eV/cell. Number 12: formation energy from raw total energies -0.4886 eV/atom, VASP energy -29.6 eV/cell, D(E_F) 3.2 states/eV/cell. Number 13: formation energy from raw total energies -0.5117 eV/atom, VASP energy -29.7 eV/cell, D(E_F) 4.4 states/eV/cell.